Material: ErTm2In3Pd3
Method: DFT, PBE
State: optimized geometry Values from VASP.

Computed properties:
- space group = Amm2
- volume (Å³ per atom) = 21.4
- total magnetization (μB/atom) = 0.00
- calculated total energy (eV/atom) = -4.955

```
&SYSTEM
  ibrav = 0, nat = 9, ntyp = 4
/
ATOMIC_SPECIES
Er 167.26 Er.upf
Tm 168.93 Tm.upf
In 114.82 In.upf
Pd 106.42 Pd.upf
ATOMIC_POSITIONS angstrom
Er 0.000 0.000 0.000
Tm 0.000 -2.710 4.691
Tm 0.000 2.710 4.691
In 1.887 -1.747 2.122
In 1.887 1.747 2.122
In 1.887 0.000 5.140
Pd 0.000 0.000 3.129
Pd 1.887 -4.432 3.126
Pd 1.887 4.432 3.126
CELL_PARAMETERS angstrom
3.774 0.000 0.000
0.000 6.656 3.840
0.000 -6.656 3.840
```